This record from Alexandria via LeMat-Bulk describes MgVH after structural relaxation. The functional is PBE-GGA.

Cell lengths 2.9257, 2.9264, 9.8104 Å; angles 85.80, 85.55, 62.80 degrees
Last column: nearest neighbours and their distance in Å.
Space group P-1 (No. 2)
Unique sites:
1 Mg 0.1589 0.1584 0.1361 (multiplicity 2)  1 H 2.00
2 V 0.2415 0.2424 0.5984 (multiplicity 2)  3 H 1.79-1.83
3 H 0.1078 0.1043 0.3403 (multiplicity 2)  3 V 1.79-1.83, 1 Mg 2.00

Summary:
* E above lowest polymorph: 0.0048 eV/atom
* size of the total moment: 0.000 μB/atom